No. 1
# Th12H5Pd3

Th12H5Pd3 after structural relaxation (PBE, Alexandria via LeMat-Bulk).

Calculated values
DFT total energy: -6.27 eV per atom
Space group: No. 230
Magnetic moment: 0.00 μB/cell

a b c (Å): 13.4836 13.4836 13.4836
angles (deg): 109.47 109.47 109.47
With the nearest neighbours (Å) after each atom.
Fractional positions:
Th 0.0218 0.2099 0.1116  1 H 2.26
Th 0.0218 0.3119 0.9102  1 H 2.26
Th 0.0898 0.6116 0.4017  1 H 2.26
Th 0.0898 0.9782 0.6881  1 H 2.26
Th 0.0983 0.7099 0.6881  1 H 2.26
Th 0.0983 0.8884 0.4102  1 H 2.26
Th 0.1116 0.0218 0.2099  1 H 2.26
Th 0.1116 0.5898 0.9017  1 H 2.26
Th 0.1881 0.2099 0.5983  1 H 2.26
Th 0.1881 0.4782 0.5898  1 H 2.26
Th 0.2099 0.1116 0.0218  1 H 2.26
Th 0.2099 0.5983 0.1881  1 H 2.26
Th 0.2901 0.3119 0.9017  1 H 2.26
Th 0.2901 0.4782 0.3884  1 H 2.26
Th 0.3119 0.9017 0.2901  1 H 2.26
Th 0.3119 0.9102 0.0218  1 H 2.26
Th 0.3884 0.2901 0.4782  1 H 2.26
Th 0.3884 0.5983 0.9102  1 H 2.26
Th 0.4017 0.0898 0.6116  1 H 2.26
Th 0.4017 0.8119 0.7901  1 H 2.26
Th 0.4102 0.0983 0.8884  1 H 2.26
Th 0.4102 0.8119 0.5218  1 H 2.26
Th 0.4782 0.3884 0.2901  1 H 2.26
Th 0.4782 0.5898 0.1881  1 H 2.26
Th 0.5218 0.4102 0.8119  1 H 2.26
Th 0.5218 0.6116 0.7099  1 H 2.26
Th 0.5898 0.1881 0.4782  1 H 2.26
Th 0.5898 0.9017 0.1116  1 H 2.26
Th 0.5983 0.1881 0.2099  1 H 2.26
Th 0.5983 0.9102 0.3884  1 H 2.26
Th 0.6116 0.4017 0.0898  1 H 2.26
Th 0.6116 0.7099 0.5218  1 H 2.26
Th 0.6881 0.0898 0.9782  1 H 2.26
Th 0.6881 0.0983 0.7099  1 H 2.26
Th 0.7099 0.5218 0.6116  1 H 2.26
Th 0.7099 0.6881 0.0983  1 H 2.26
Th 0.7901 0.4017 0.8119  1 H 2.26
Th 0.7901 0.8884 0.9782  1 H 2.26
Th 0.8119 0.5218 0.4102  1 H 2.26
Th 0.8119 0.7901 0.4017  1 H 2.26
Th 0.8884 0.4102 0.0983  1 H 2.26
Th 0.8884 0.9782 0.7901  1 H 2.26
Th 0.9017 0.1116 0.5898  1 H 2.26
Th 0.9017 0.2901 0.3119  1 H 2.26
Th 0.9102 0.0218 0.3119  1 H 2.26
Th 0.9102 0.3884 0.5983  1 H 2.26
Th 0.9782 0.6881 0.0898  1 H 2.26
Th 0.9782 0.7901 0.8884  1 H 2.26
H 0.0000 0.0000 0.0000  6 Th 2.58
H 0.0000 0.0000 0.5000  6 Th 2.58
H 0.0000 0.5000 0.0000  6 Th 2.58
H 0.0000 0.5000 0.5000  6 Th 2.58
H 0.1250 0.7500 0.8750  4 Th 2.26
H 0.1250 0.8750 0.2500  4 Th 2.26
H 0.2500 0.1250 0.8750  4 Th 2.26
H 0.2500 0.6250 0.3750  4 Th 2.26
H 0.3750 0.2500 0.6250  4 Th 2.26
H 0.3750 0.6250 0.7500  4 Th 2.26
H 0.5000 0.0000 0.0000  6 Th 2.58
H 0.5000 0.0000 0.5000  6 Th 2.58
H 0.5000 0.5000 0.0000  6 Th 2.58
H 0.5000 0.5000 0.5000  6 Th 2.58
H 0.6250 0.3750 0.2500  4 Th 2.26
H 0.6250 0.7500 0.3750  4 Th 2.26
H 0.7500 0.3750 0.6250  4 Th 2.26
H 0.7500 0.8750 0.1250  4 Th 2.26
H 0.8750 0.1250 0.7500  4 Th 2.26
H 0.8750 0.2500 0.1250  4 Th 2.26
Pd 0.1250 0.2500 0.3750  8 Th 3.04-3.12
Pd 0.1250 0.3750 0.7500  8 Th 3.04-3.12
Pd 0.2500 0.3750 0.1250  8 Th 3.04-3.12
Pd 0.2500 0.8750 0.6250  8 Th 3.04-3.12
Pd 0.3750 0.1250 0.2500  8 Th 3.04-3.12
Pd 0.3750 0.7500 0.1250  8 Th 3.04-3.12
Pd 0.6250 0.2500 0.8750  8 Th 3.04-3.12
Pd 0.6250 0.8750 0.7500  8 Th 3.04-3.12
Pd 0.7500 0.1250 0.3750  8 Th 3.04-3.12
Pd 0.7500 0.6250 0.8750  8 Th 3.04-3.12
Pd 0.8750 0.6250 0.2500  8 Th 3.04-3.12
Pd 0.8750 0.7500 0.6250  8 Th 3.04-3.12

No. 2
# MgIrPdSe2

MgIrPdSe2 after structural relaxation (PBE, Alexandria via LeMat-Bulk).

Calculated values
Energy relative to the elements, uncorrected: 3.22 eV per formula unit
Space group: No. 123
Magnetic moment: 1.25 μB/cell

a b c (Å): 4.8588 4.8588 4.9375
angles (deg): 90.00 90.00 90.00
With the nearest neighbours (Å) after each atom.
Fractional positions:
Mg 0.0000 0.0000 0.0000  4 Ir 3.44, 8 Se 3.46
Ir 0.5000 0.5000 0.0000  2 Pd 2.47
Pd 0.5000 0.5000 0.5000  4 Se 2.43, 2 Ir 2.47
Se 0.0000 0.5000 0.5000  2 Pd 2.43
Se 0.5000 0.0000 0.5000  2 Pd 2.43